Record 1
Computed, not measured: Cu2Tc at its PBEsol-relaxed geometry at the SCAN level of DFT.

Values from the calculation:
ΔH_f (0 K) = 0.6 eV per formula unit
Total energy = -21.62 eV/atom
Space group = No. 164
DOS(E_F) = 0.652 states/eV per atom
Magnetic moment = 0.00 Bohr magnetons per cell

Structure (POSCAR):
```
Cu2Tc
1.0
2.586 0.000 0.000
-1.293 2.240 0.000
0.000 0.000 6.409
Cu Tc
2 1
direct
0.333 0.667 0.341
0.667 0.333 0.659
0.000 0.000 0.000
```

=====

Record 2
Computed, not measured: Cu2TcTe at its PBEsol-relaxed geometry at the SCAN level of DFT.

Values from the calculation:
Total energy = -25.23 eV/atom
Space group = No. 71
Energy relative to the elements, uncorrected = 0.4476 eV/atom
DOS(E_F) = 0.604 states/eV per atom
Magnetic moment = 0.62 Bohr magnetons per cell

Structure (POSCAR):
```
Cu2TcTe
1.0
-0.038 -1.318 -2.923
3.366 -2.272 0.981
-4.270 -1.428 2.459
Cu Tc Te
2 1 1
direct
0.246 0.247 0.493
0.754 0.753 0.507
0.000 0.500 0.000
0.500 0.000 0.000
```

=====

Record 3
Computed, not measured: TlCu2TcTe at its PBEsol-relaxed geometry at the SCAN level of DFT.

Values from the calculation:
Total energy = -33.87 eV/atom
Space group = No. 123
Energy relative to the elements, uncorrected = 1.1416 eV/atom
DOS(E_F) = 0.640 states/eV per atom
Magnetic moment = 2.91 Bohr magnetons per cell

Structure (POSCAR):
```
TlCu2TcTe
1.0
4.700 0.000 0.000
0.000 4.700 0.000
0.000 0.000 5.177
Tl Te Tc Cu
1 1 1 2
direct
0.000 0.000 0.500
0.500 0.500 0.500
0.000 0.000 0.000
0.000 0.500 0.000
0.500 0.000 0.000
```